[1]
Hf5Zr4Ti | PBE | optimized geometry

a b c (Å): 7.773 7.773 10.024
angles (deg): 109.62 109.62 22.99
Fractional positions:
Hf  0.000  0.000  0.000
Hf  0.292  0.292  0.390
Hf  0.308  0.308  0.913
Hf  0.692  0.692  0.087
Hf  0.708  0.708  0.610
Zr  0.104  0.104  0.794
Zr  0.408  0.408  0.698
Zr  0.592  0.592  0.302
Zr  0.896  0.896  0.206
Ti  0.000  0.000  0.500

- Energy above the most stable polymorph in this dataset: 0.000 eV/atom
- Space group: C2/m, No. 12
- Electronic total energy: -9.12 eV per atom

=====

[2]
Hf2Zr2Ti | PBE | optimized geometry

a b c (Å): 7.544 7.544 3.946
angles (deg): 90.00 90.00 90.00
Fractional positions:
Hf  0.144  0.356  0.000
Hf  0.356  0.856  0.000
Hf  0.644  0.144  0.000
Hf  0.856  0.644  0.000
Zr  0.156  0.656  0.500
Zr  0.344  0.156  0.500
Zr  0.656  0.844  0.500
Zr  0.844  0.344  0.500
Ti  0.000  0.000  0.000
Ti  0.500  0.500  0.000

- Energy above the most stable polymorph in this dataset: 0.156 eV/atom
- Space group: P4/mbm, No. 127
- Electronic total energy: -8.73 eV per atom

=====

[3]
Hf2Zr4Ti | PBE | optimized geometry

a b c (Å): 3.161 5.480 9.375
angles (deg): 94.73 90.07 106.71
Fractional positions:
Hf  0.142  0.284  0.067
Hf  0.858  0.716  0.933
Zr  0.294  0.586  0.640
Zr  0.430  0.859  0.223
Zr  0.570  0.141  0.777
Zr  0.706  0.414  0.360
Ti  0.000  0.000  0.500

- Space group: P-1, No. 2
- Electronic total energy: -8.79 eV per atom

=====

[4]
HfZr2Ti | PBE | optimized geometry

a b c (Å): 10.256 10.256 10.256
angles (deg): 17.68 17.68 17.68
Fractional positions:
Hf  0.000  0.000  0.000
Zr  0.581  0.581  0.581
Zr  0.754  0.754  0.754
Ti  0.167  0.167  0.167

- Energy above the most stable polymorph in this dataset: 0.005 eV/atom
- Space group: R3m, No. 160
- Electronic total energy: -8.65 eV per atom

=====

[5]
HfZr6Ti2 | PBE | optimized geometry

a b c (Å): 8.564 8.564 3.052
angles (deg): 90.00 90.00 120.00
Fractional positions:
Hf  0.000  0.000  0.000
Zr  0.000  0.336  0.500
Zr  0.000  0.664  0.500
Zr  0.336  0.000  0.500
Zr  0.336  0.336  0.500
Zr  0.664  0.000  0.500
Zr  0.664  0.664  0.500
Ti  0.333  0.667  0.000
Ti  0.667  0.333  0.000

- Space group: P6/mmm, No. 191
- Electronic total energy: -8.51 eV per atom

=====

[6]
HfZrTi2 | PBE | optimized geometry

a b c (Å): 10.005 10.005 10.005
angles (deg): 17.72 17.72 17.72
Fractional positions:
Hf  0.000  0.000  0.000
Zr  0.166  0.166  0.166
Ti  0.415  0.415  0.415
Ti  0.584  0.584  0.584

- Space group: R3m, No. 160
- Electronic total energy: -8.47 eV per atom

=====

[7]
HfZrTi2 | PBE | optimized geometry

a b c (Å): 4.353 4.353 4.231
angles (deg): 90.00 90.00 90.00
Fractional positions:
Hf  0.000  0.000  0.000
Zr  0.500  0.500  0.000
Ti  0.000  0.500  0.500
Ti  0.500  0.000  0.500

- Space group: P4/mmm, No. 123
- Electronic total energy: -8.48 eV per atom

=====

[8]
HfZrTi2 | PBE | optimized geometry

a b c (Å): 5.205 5.205 5.205
angles (deg): 130.24 130.24 73.03
Fractional positions:
Hf  0.000  0.000  0.000
Zr  0.500  0.500  0.000
Ti  0.250  0.750  0.500
Ti  0.750  0.250  0.500

- Space group: I4/mmm, No. 139
- Electronic total energy: -8.48 eV per atom

=====

[9]
Hf5Zr4Ti | PBE | optimized geometry

a b c (Å): 7.020 7.020 7.020
angles (deg): 98.53 98.53 134.69
Fractional positions:
Hf  0.000  0.000  0.000
Hf  0.117  0.117  0.631
Hf  0.117  0.486  0.000
Hf  0.486  0.117  0.000
Hf  0.486  0.486  0.369
Zr  0.088  0.768  0.320
Zr  0.448  0.768  0.680
Zr  0.768  0.088  0.320
Zr  0.768  0.448  0.680
Ti  0.543  0.543  0.000

- Energy above the most stable polymorph in this dataset: 0.230 eV/atom
- Space group: I4mm, No. 107
- Electronic total energy: -8.89 eV per atom

=====

[10]
HfZr3Ti2 | PBE | optimized geometry

a b c (Å): 7.886 7.886 12.519
angles (deg): 117.31 117.31 22.09
Fractional positions:
Hf  0.061  0.061  0.147
Hf  0.939  0.939  0.853
Zr  0.101  0.101  0.518
Zr  0.249  0.249  0.800
Zr  0.457  0.457  0.278
Zr  0.543  0.543  0.722
Zr  0.751  0.751  0.200
Zr  0.899  0.899  0.482
Ti  0.160  0.160  0.965
Ti  0.319  0.319  0.617
Ti  0.681  0.681  0.383
Ti  0.840  0.840  0.035

- Space group: C2/m, No. 12
- Electronic total energy: -8.42 eV per atom

=====

[11]
Hf7Zr12Ti | PBE | optimized geometry

a b c (Å): 7.852 7.852 7.852
angles (deg): 101.41 101.41 101.41
Fractional positions:
Hf  0.000  0.000  0.000
Hf  0.085  0.339  0.339
Hf  0.339  0.085  0.339
Hf  0.339  0.339  0.085
Hf  0.661  0.661  0.915
Hf  0.661  0.915  0.661
Hf  0.915  0.661  0.661
Zr  0.091  0.091  0.667
Zr  0.091  0.667  0.091
Zr  0.245  0.500  0.755
Zr  0.245  0.755  0.500
Zr  0.333  0.909  0.909
Zr  0.500  0.245  0.755
Zr  0.500  0.755  0.245
Zr  0.667  0.091  0.091
Zr  0.755  0.245  0.500
Zr  0.755  0.500  0.245
Zr  0.909  0.333  0.909
Zr  0.909  0.909  0.333
Ti  0.500  0.500  0.500

- Space group: R-3m, No. 166
- Electronic total energy: -8.91 eV per atom

=====

[12]
Hf2Zr8Ti | PBE | optimized geometry

a b c (Å): 4.884 6.069 8.710
angles (deg): 91.46 106.20 90.05
Fractional positions:
Hf  0.044  0.232  0.088
Hf  0.956  0.768  0.912
Zr  0.145  0.683  0.293
Zr  0.234  0.159  0.469
Zr  0.338  0.624  0.674
Zr  0.421  0.085  0.840
Zr  0.579  0.915  0.160
Zr  0.662  0.376  0.326
Zr  0.766  0.841  0.531
Zr  0.855  0.317  0.707
Ti  0.500  0.500  0.000

- Energy above the most stable polymorph in this dataset: 0.000 eV/atom
- Space group: P-1, No. 2
- Electronic total energy: -8.66 eV per atom

=====

Short version: ΔH_f (0 K) = 0.64; 1.26; 0.48; 0.34; 0.43; 0.40; 0.37; 0.38; 2.94; 0.89; 1.91; 0.88 eV/f.u., in the order given.